Record 1
# LiErCoSn (GGA-PBE, relaxed)
# - E_tot (eV/atom) = -4.788
# - E_form (eV per atom) = -0.39
# - magnetic moment (μB per formula unit) = 0.72
# - N(E_F) (states/eV per cell) = 16.4
data_LiErCoSn
_cell_length_a 6.517
_cell_length_b 6.517
_cell_length_c 6.517
_cell_angle_alpha 90.00
_cell_angle_beta 90.00
_cell_angle_gamma 90.00
_symmetry_space_group_name_H-M 'F -4 3 m'
_symmetry_Int_Tables_number 216
_symmetry_space_group_name_Hall 'F -4 2 3'
loop_
_atom_site_label
_atom_site_type_symbol
_atom_site_fract_x
_atom_site_fract_y
_atom_site_fract_z
Li1 Li 0.000 0.000 0.000
Er1 Er 0.250 0.250 0.250
Co1 Co 0.000 0.000 0.500
Sn1 Sn 0.250 0.250 0.750

=====

Record 2
# LiErTiCo (GGA-PBE, relaxed)
# - E_tot (eV/atom) = -5.347
# - E_form (eV per atom) = 0.02
# - magnetic moment (μB per formula unit) = 0.30
# - N(E_F) (states/eV per cell) = 14.1
data_LiErTiCo
_cell_length_a 6.436
_cell_length_b 6.436
_cell_length_c 6.436
_cell_angle_alpha 90.00
_cell_angle_beta 90.00
_cell_angle_gamma 90.00
_symmetry_space_group_name_H-M 'F -4 3 m'
_symmetry_Int_Tables_number 216
_symmetry_space_group_name_Hall 'F -4 2 3'
loop_
_atom_site_label
_atom_site_type_symbol
_atom_site_fract_x
_atom_site_fract_y
_atom_site_fract_z
Li1 Li 0.000 0.000 0.000
Er1 Er 0.250 0.250 0.250
Ti1 Ti 0.250 0.250 0.750
Co1 Co 0.000 0.000 0.500